# 1
Entry from Alexandria via LeMat-Bulk: an optimized crystal structure of CdNiH2 (PBE).

For the density, the calculation gives 7.217 g cm⁻³. The total moment comes out at 0.000 μB/f.u. Its total energy is -3.2219 eV per atom.

It has space group I-42d (No. 122), with a = 4.338 Å, b = 4.338 Å, c = 8.468 Å, α = 90.00°, β = 90.00° and γ = 90.00°. The asymmetric unit holds Cd at (0.000, 0.000, 0.000), Ni at (0.000, 0.000, 0.500) and H at (0.132, 0.250, 0.625).

=====

# 2
Entry from Alexandria via LeMat-Bulk: an optimized crystal structure of Cd2Ni4H5 (PBE).

For the density, the calculation gives 7.903 g cm⁻³. The total moment comes out at 0.000 μB/f.u. Its total energy is -3.7427 eV per atom.

It has space group Fmmm (No. 69), with a = 4.628 Å, b = 8.527 Å, c = 9.896 Å, α = 90.00°, β = 90.00° and γ = 90.00°. The asymmetric unit holds Cd at (0.000, 0.000, 0.148), Ni at (0.000, 0.177, 0.376), H at (0.000, 0.000, 0.500), H at (0.250, 0.250, 0.000) and H at (0.250, 0.250, 0.250).

=====

# 3
Entry from Alexandria via LeMat-Bulk: an optimized crystal structure of CdNiHPb2 (PBE).

For the density, the calculation gives 9.560 g cm⁻³. The total moment comes out at 0.000 μB/f.u. As for the distance to the lowest polymorph of the same formula: 0.0 meV/atom. Its total energy is -3.3132 eV per atom.

It has space group P4/mmm (No. 123), with a = 5.591 Å, b = 5.591 Å, c = 3.259 Å, α = 90.00°, β = 90.00° and γ = 90.00°. The asymmetric unit holds Cd at (0.000, 0.000, 0.000), Ni at (0.500, 0.500, 0.500), H at (0.500, 0.500, 0.000) and Pb at (0.000, 0.500, 0.500).

=====

# 4
Entry from Alexandria via LeMat-Bulk: an optimized crystal structure of CdNi2HPb (PBE).

For the density, the calculation gives 10.353 g cm⁻³. The total moment comes out at 0.000 μB/f.u. Its total energy is -3.5715 eV per atom.

It has space group P4/mmm (No. 123), with a = 4.142 Å, b = 4.142 Å, c = 4.094 Å, α = 90.00°, β = 90.00° and γ = 90.00°. The asymmetric unit holds Cd at (0.000, 0.000, 0.000), Ni at (0.000, 0.500, 0.500), H at (0.000, 0.000, 0.500) and Pb at (0.500, 0.500, 0.000).

=====

# 5
Entry from Alexandria via LeMat-Bulk: an optimized crystal structure of CdNiHPb2 (PBE).

For the density, the calculation gives 6.304 g cm⁻³. The total moment comes out at 0.000 μB/f.u. As for the distance to the lowest polymorph of the same formula: 996.6 meV/atom. Its total energy is -2.3167 eV per atom.

It has space group P4/mmm (No. 123), with a = 5.674 Å, b = 5.674 Å, c = 4.799 Å, α = 90.00°, β = 90.00° and γ = 90.00°. The asymmetric unit holds Cd at (0.000, 0.000, 0.000), Ni at (0.000, 0.000, 0.500), H at (0.500, 0.500, 0.500) and Pb at (0.000, 0.500, 0.000).

=====

# 6
Entry from Alexandria via LeMat-Bulk: an optimized crystal structure of CdNiHPd2 (PBE).

For the density, the calculation gives 10.046 g cm⁻³. The total moment comes out at 0.336 μB/f.u. As for the distance to the lowest polymorph of the same formula: 0.0 meV/atom. Its total energy is -4.2555 eV per atom.

It has space group P4/mmm (No. 123), with a = 4.113 Å, b = 4.113 Å, c = 3.761 Å, α = 90.00°, β = 90.00° and γ = 90.00°. The asymmetric unit holds Cd at (0.000, 0.000, 0.000), Ni at (0.500, 0.500, 0.000), H at (0.500, 0.500, 0.500) and Pd at (0.000, 0.500, 0.500).

=====

# 7
Entry from Alexandria via LeMat-Bulk: an optimized crystal structure of CdNiHPd2 (PBE).

For the density, the calculation gives 9.798 g cm⁻³. The total moment comes out at 0.538 μB/f.u. As for the distance to the lowest polymorph of the same formula: 184.3 meV/atom. Its total energy is -4.0713 eV per atom.

It has space group P4/mmm (No. 123), with a = 3.915 Å, b = 3.915 Å, c = 4.256 Å, α = 90.00°, β = 90.00° and γ = 90.00°. The asymmetric unit holds Cd at (0.000, 0.000, 0.000), Ni at (0.500, 0.500, 0.000), H at (0.000, 0.000, 0.500) and Pd at (0.000, 0.500, 0.500).

=====

# 8
Entry from Alexandria via LeMat-Bulk: an optimized crystal structure of CdNi2HPd (PBE).

For the density, the calculation gives 9.508 g cm⁻³. The total moment comes out at 0.490 μB/f.u. As for the distance to the lowest polymorph of the same formula: 0.0 meV/atom. Its total energy is -4.2637 eV per atom.

It has space group P4/mmm (No. 123), with a = 3.855 Å, b = 3.855 Å, c = 3.962 Å, α = 90.00°, β = 90.00° and γ = 90.00°. The asymmetric unit holds Cd at (0.000, 0.000, 0.000), Ni at (0.000, 0.500, 0.500), H at (0.500, 0.500, 0.500) and Pd at (0.500, 0.500, 0.000).

=====

# 9
Entry from Alexandria via LeMat-Bulk: an optimized crystal structure of CdNi2HPd (PBE).

For the density, the calculation gives 9.359 g cm⁻³. The total moment comes out at 0.535 μB/f.u. As for the distance to the lowest polymorph of the same formula: 130.8 meV/atom. Its total energy is -4.1329 eV per atom.

It has space group P4/mmm (No. 123), with a = 3.753 Å, b = 3.753 Å, c = 4.248 Å, α = 90.00°, β = 90.00° and γ = 90.00°. The asymmetric unit holds Cd at (0.000, 0.000, 0.000), Ni at (0.000, 0.500, 0.500), H at (0.000, 0.000, 0.500) and Pd at (0.500, 0.500, 0.000).

=====

# 10
Entry from Alexandria via LeMat-Bulk: an optimized crystal structure of PmCdNi4H6 (PBE).

For the density, the calculation gives 7.374 g cm⁻³. The total moment comes out at 0.000 μB/f.u. Its total energy is -4.3430 eV per atom.

It has space group P6/mmm (No. 191), with a = 4.4100 Å, b = 4.4100 Å, c = 6.6612 Å, α = 90.00°, β = 90.00° and γ = 120.00°. The asymmetric unit holds Pm at (0.0000, 0.0000, 0.0000), Cd at (0.0000, 0.0000, 0.5000), Ni at (0.3333, 0.6667, 0.3137) and H at (0.0000, 0.5000, 0.1650).

=====

# 11
Entry from Alexandria via LeMat-Bulk: an optimized crystal structure of CdNi2HPt (PBE).

For the density, the calculation gives 11.787 g cm⁻³. The total moment comes out at 0.595 μB/f.u. As for the distance to the lowest polymorph of the same formula: 132.6 meV/atom. Its total energy is -4.3045 eV per atom.

It has space group P4/mmm (No. 123), with a = 3.801 Å, b = 3.801 Å, c = 4.152 Å, α = 90.00°, β = 90.00° and γ = 90.00°. The asymmetric unit holds Cd at (0.000, 0.000, 0.000), Ni at (0.000, 0.500, 0.500), H at (0.000, 0.000, 0.500) and Pt at (0.500, 0.500, 0.000).

=====

# 12
Entry from Alexandria via LeMat-Bulk: an optimized crystal structure of CdNiHPt2 (PBE).

For the density, the calculation gives 14.456 g cm⁻³. The total moment comes out at 0.622 μB/f.u. As for the distance to the lowest polymorph of the same formula: 0.0 meV/atom. Its total energy is -4.5351 eV per atom.

It has space group P4/mmm (No. 123), with a = 4.041 Å, b = 4.041 Å, c = 3.956 Å, α = 90.00°, β = 90.00° and γ = 90.00°. The asymmetric unit holds Cd at (0.000, 0.000, 0.000), Ni at (0.500, 0.500, 0.000), H at (0.500, 0.500, 0.500) and Pt at (0.000, 0.500, 0.500).